[1]
! Hf2Be PBE relaxed; values from VASP
! **Final energy**: -20.792 eV/f.u.
! **Magnetic moment**: 0.000 μB per atom
&SYSTEM
  ibrav = 0, nat = 6, ntyp = 2
/
ATOMIC_SPECIES
Be 9.01 Be.upf
Hf 178.49 Hf.upf
CELL_PARAMETERS angstrom
0.0000 3.9409 3.9409
3.9409 0.0000 3.9409
3.9409 3.9409 0.0000
ATOMIC_POSITIONS crystal
Be 0.0000 0.0000 0.0000
Be 0.2500 0.2500 0.2500
Hf 0.6250 0.6250 0.1250
Hf 0.6250 0.1250 0.6250
Hf 0.1250 0.6250 0.6250
Hf 0.6250 0.6250 0.6250


[2]
! YMgPt PBE relaxed; values from VASP
! **Final energy**: -16.576 eV/f.u.
! **Magnetic moment**: 0.002 μB per atom
&SYSTEM
  ibrav = 0, nat = 6, ntyp = 3
/
ATOMIC_SPECIES
Mg 24.30 Mg.upf
Pt 195.08 Pt.upf
Y 88.91 Y.upf
CELL_PARAMETERS angstrom
5.0077 0.0000 0.0000
-2.5038 4.3368 0.0000
0.0000 0.0000 5.8843
ATOMIC_POSITIONS crystal
Mg 0.0000 0.0000 0.2521
Mg 0.0000 0.0000 0.7521
Pt 0.3333 0.6667 0.4982
Pt 0.6667 0.3333 0.9982
Y 0.6667 0.3333 0.4997
Y 0.3333 0.6667 0.9997


[3]
! BaY2Mo PBE relaxed; values from VASP
! **Final energy**: -22.439 eV/f.u.
! **Magnetic moment**: 0.180 μB per atom
&SYSTEM
  ibrav = 0, nat = 4, ntyp = 3
/
ATOMIC_SPECIES
Ba 137.33 Ba.upf
Mo 95.94 Mo.upf
Y 88.91 Y.upf
CELL_PARAMETERS angstrom
3.6898 0.8825 3.8768
-1.2670 3.0427 4.3080
-0.5819 -2.3082 4.8740
ATOMIC_POSITIONS crystal
Ba 0.7500 0.7500 0.7500
Mo 0.5000 0.5000 0.5000
Y 0.0000 0.0000 0.0000
Y 0.2500 0.2500 0.2500


[4]
! Hf6GeBi2 PBE relaxed; values from VASP
! **Final energy**: -75.129 eV/f.u.
! **Magnetic moment**: 0.000 μB per atom
&SYSTEM
  ibrav = 0, nat = 9, ntyp = 3
/
ATOMIC_SPECIES
Bi 208.98 Bi.upf
Ge 72.64 Ge.upf
Hf 178.49 Hf.upf
CELL_PARAMETERS angstrom
7.6268 0.0000 0.0000
-3.8134 6.6050 0.0000
0.0000 0.0000 3.9387
ATOMIC_POSITIONS crystal
Bi 0.6667 0.3333 0.5000
Bi 0.3333 0.6667 0.5000
Ge 0.0000 0.0000 0.0000
Hf 0.6137 0.0000 0.0000
Hf 0.3863 0.3863 0.0000
Hf 0.0000 0.6137 0.0000
Hf 0.2398 0.0000 0.5000
Hf 0.0000 0.2398 0.5000
Hf 0.7602 0.7602 0.5000


[5]
! TaSnPO PBE relaxed; values from VASP
! **Final energy**: -28.692 eV/f.u.
! **Magnetic moment**: 0.001 μB per atom
&SYSTEM
  ibrav = 0, nat = 8, ntyp = 4
/
ATOMIC_SPECIES
O 16.00 O.upf
P 30.97 P.upf
Sn 118.71 Sn.upf
Ta 180.95 Ta.upf
CELL_PARAMETERS angstrom
4.0761 0.0000 0.0000
0.0000 4.0761 0.0000
0.0000 0.0000 9.8931
ATOMIC_POSITIONS crystal
O 0.0000 0.0000 0.0000
O 0.5000 0.5000 0.0000
P 0.5000 0.0000 0.3559
P 0.0000 0.5000 0.6441
Sn 0.0000 0.5000 0.1091
Sn 0.5000 0.0000 0.8909
Ta 0.0000 0.0000 0.5000
Ta 0.5000 0.5000 0.5000


[6]
! Cd2GeIr PBE relaxed; values from VASP
! **Final energy**: -14.347 eV/f.u.
! **Magnetic moment**: 0.000 μB per atom
&SYSTEM
  ibrav = 0, nat = 4, ntyp = 3
/
ATOMIC_SPECIES
Cd 112.41 Cd.upf
Ge 72.64 Ge.upf
Ir 192.22 Ir.upf
CELL_PARAMETERS angstrom
0.0000 3.3128 3.3128
3.3128 0.0000 3.3128
3.3128 3.3128 0.0000
ATOMIC_POSITIONS crystal
Cd 0.0000 0.0000 0.0000
Cd 0.7500 0.7500 0.7500
Ge 0.5000 0.5000 0.5000
Ir 0.2500 0.2500 0.2500


[7]
! BeGeOsPb PBE relaxed; values from VASP
! **Final energy**: -19.889 eV/f.u.
! **Magnetic moment**: 0.001 μB per atom
&SYSTEM
  ibrav = 0, nat = 4, ntyp = 4
/
ATOMIC_SPECIES
Be 9.01 Be.upf
Ge 72.64 Ge.upf
Os 190.23 Os.upf
Pb 207.20 Pb.upf
CELL_PARAMETERS angstrom
-3.4480 0.8697 2.8568
-1.3118 4.3042 0.7479
-3.9937 1.4830 -1.6301
ATOMIC_POSITIONS crystal
Be 0.7500 0.7500 0.7500
Ge 0.0000 0.0000 0.0000
Os 0.2500 0.2500 0.2500
Pb 0.5000 0.5000 0.5000